A relaxed structure of CdTeBr2. Source: the Alexandria database, functional GGA-PBEsol.

abc: 7.3818 7.3818 7.3818
angles: 90.00 90.00 90.00
Closest atoms and distances in Å follow each position.
Space group Fm-3m (No. 225)
Inequivalent atoms, fractional coordinates:
Cd (0.0000, 0.0000, 0.0000) (multiplicity 4)  8 Br 3.20
Te (0.0000, 0.0000, 0.5000) (multiplicity 4)  8 Br 3.20
Br (0.2500, 0.2500, 0.2500) (multiplicity 8)  4 Te 3.20, 4 Cd 3.20

Computed properties:
Raw formation energy: 0.189 eV/atom
Energy relative to the lowest polymorph listed for this composition: 93 meV/atom
Fermi-level density of states: 1.17 states/eV per atom